Entry 1:
Computed, not measured: an optimized crystal structure of CeHoLuGa at the GGA-PBE level of DFT.

Summary:
symmetry	F-43m
formation enthalpy at 0 K	-0.0941	eV per atom
N(E_F)	8.2	states/eV/cell

Cell and atoms, written as extended XYZ:
```
4
Lattice="-3.785 -3.595 0.684 1.269 -4.946 1.282 -1.059 -1.823 4.825" Properties=species:S:1:pos:R:3 pbc="T T T"
Lu -2.681 -7.774 5.093
Ga -0.894 -2.591 1.698
Ce -1.788 -5.182 3.395
Ho 0.000 0.000 0.000
```

Entry 2:
Computed, not measured: an optimized crystal structure of CeHoMgGa at the GGA-PBE level of DFT.

Summary:
symmetry	F-43m
formation enthalpy at 0 K	-0.2605	eV per atom
N(E_F)	7.8	states/eV/cell

Cell and atoms, written as extended XYZ:
```
4
Lattice="5.200 0.000 0.000 2.600 4.503 0.000 2.600 1.501 4.246" Properties=species:S:1:pos:R:3 pbc="T T T"
Ga 2.600 1.501 1.061
Ho 0.000 0.000 0.000
Ce 5.200 3.002 2.123
Mg 7.800 4.503 3.184
```

Entry 3:
Computed, not measured: an optimized crystal structure of CeNdHoGa at the GGA-PBE level of DFT.

Summary:
symmetry	F-43m
formation enthalpy at 0 K	-0.0673	eV per atom
N(E_F)	9.1	states/eV/cell

Cell and atoms, written as extended XYZ:
```
4
Lattice="-2.847 -0.499 4.523 2.512 -0.274 4.735 -0.309 4.106 3.443" Properties=species:S:1:pos:R:3 pbc="T T T"
Ho -0.483 2.500 9.526
Nd -0.322 1.667 6.351
Ce 0.000 0.000 0.000
Ga -0.161 0.833 3.175
```

Entry 4:
Computed, not measured: an optimized crystal structure of CeHoGaNi at the GGA-PBE level of DFT.

Summary:
symmetry	F-43m
formation enthalpy at 0 K	-0.3619	eV per atom
N(E_F)	5.3	states/eV/cell

Cell and atoms, written as extended XYZ:
```
4
Lattice="4.972 0.000 0.000 2.486 4.306 0.000 2.486 1.435 4.059" Properties=species:S:1:pos:R:3 pbc="T T T"
Ga 7.458 4.306 3.045
Ho 0.000 0.000 0.000
Ni 2.486 1.435 1.015
Ce 4.972 2.870 2.030
```

Entry 5:
Computed, not measured: an optimized crystal structure of CeHoGaOs at the GGA-PBE level of DFT.

Summary:
symmetry	F-43m
formation enthalpy at 0 K	-0.3066	eV per atom
N(E_F)	4.1	states/eV/cell

Cell and atoms, written as extended XYZ:
```
4
Lattice="-0.952 0.686 4.819 -4.586 -0.718 1.749 -0.960 -3.895 2.917" Properties=species:S:1:pos:R:3 pbc="T T T"
Os -4.873 -2.945 7.114
Ga -1.624 -0.982 2.371
Ho 0.000 0.000 0.000
Ce -3.249 -1.963 4.742
```

Entry 6:
Computed, not measured: an optimized crystal structure of CeHoPaGa at the GGA-PBE level of DFT.

Summary:
symmetry	F-43m
formation enthalpy at 0 K	0.0887	eV per atom
N(E_F)	8.6	states/eV/cell

Cell and atoms, written as extended XYZ:
```
4
Lattice="5.194 0.000 0.000 2.597 4.498 0.000 2.597 1.499 4.241" Properties=species:S:1:pos:R:3 pbc="T T T"
Ho 0.000 0.000 0.000
Ga 7.790 4.498 3.180
Ce 5.194 2.999 2.120
Pa 2.597 1.499 1.060
```

Entry 7:
Computed, not measured: an optimized crystal structure of CeHoGaPb at the GGA-PBE level of DFT.

Summary:
symmetry	F-43m
formation enthalpy at 0 K	-0.3952	eV per atom
N(E_F)	7.8	states/eV/cell

Cell and atoms, written as extended XYZ:
```
4
Lattice="5.316 0.000 0.000 2.658 4.604 0.000 2.658 1.535 4.340" Properties=species:S:1:pos:R:3 pbc="T T T"
Ga 7.974 4.604 3.255
Pb 2.658 1.535 1.085
Ce 0.000 0.000 0.000
Ho 5.316 3.069 2.170
```

Entry 8:
Computed, not measured: an optimized crystal structure of CeHoGa2Pd2 at the GGA-PBE level of DFT.

Summary:
symmetry	P-3m1
formation enthalpy at 0 K	-0.8154	eV per atom
N(E_F)	6.1	states/eV/cell

Cell and atoms, written as extended XYZ:
```
6
Lattice="4.530 0.000 0.000 -2.265 3.923 0.000 0.000 0.000 6.851" Properties=species:S:1:pos:R:3 pbc="T T T"
Ga 2.265 1.308 1.805
Ga 0.000 2.615 5.046
Ho 0.000 0.000 3.426
Pd 0.000 2.615 1.819
Ce 0.000 0.000 0.000
Pd 2.265 1.308 5.032
```

Entry 9:
Computed, not measured: an optimized crystal structure of CeHoGa2Pd5 at the GGA-PBE level of DFT.

Summary:
symmetry	P4/mmm
formation enthalpy at 0 K	-0.7699	eV per atom
N(E_F)	9.1	states/eV/cell

Cell and atoms, written as extended XYZ:
```
9
Lattice="-0.717 -3.457 2.314 -0.167 -2.322 -3.521 9.122 -1.514 0.565" Properties=species:S:1:pos:R:3 pbc="T T T"
Ga 7.470 -4.202 -0.114
Ga 0.768 -3.090 -0.529
Pd 6.226 -2.821 1.565
Pd 2.179 -2.149 1.314
Pd 2.454 -1.582 -1.603
Ho 0.000 0.000 0.000
Pd 4.119 -3.646 -0.321
Pd 6.500 -2.254 -1.353
Ce 4.561 -0.757 0.282
```

Entry 10:
Computed, not measured: an optimized crystal structure of Ce2HoGa2Pd2 at the GGA-PBE level of DFT.

Summary:
symmetry	R-3m
formation enthalpy at 0 K	-0.6836	eV per atom
N(E_F)	7.5	states/eV/cell

Cell and atoms, written as extended XYZ:
```
7
Lattice="4.426 0.000 0.000 2.213 3.833 0.000 2.213 1.278 8.678" Properties=species:S:1:pos:R:3 pbc="T T T"
Ce 2.213 1.278 5.119
Ga 2.213 1.278 1.820
Ce 6.639 3.833 3.559
Ho 0.000 0.000 0.000
Ga 6.639 3.833 6.858
Pd 4.426 2.555 1.753
Pd 4.426 2.555 6.925
```

Entry 11:
Computed, not measured: an optimized crystal structure of CePmHoGa at the GGA-PBE level of DFT.

Summary:
symmetry	F-43m
formation enthalpy at 0 K	-0.0479	eV per atom
N(E_F)	8.6	states/eV/cell

Cell and atoms, written as extended XYZ:
```
4
Lattice="5.323 0.000 0.000 2.662 4.610 0.000 2.662 1.537 4.346" Properties=species:S:1:pos:R:3 pbc="T T T"
Ce 5.323 3.073 2.173
Pm 7.985 4.610 3.260
Ga 2.662 1.537 1.087
Ho 0.000 0.000 0.000
```

Entry 12:
Computed, not measured: an optimized crystal structure of CeHoGa5Pt2 at the GGA-PBE level of DFT.

Summary:
symmetry	P4/mmm
formation enthalpy at 0 K	-0.3558	eV per atom
N(E_F)	12.5	states/eV/cell

Cell and atoms, written as extended XYZ:
```
9
Lattice="4.753 0.000 0.000 0.000 4.753 0.000 0.000 0.000 9.228" Properties=species:S:1:pos:R:3 pbc="T T T"
Ga 0.000 2.376 1.817
Ga 2.376 2.376 4.614
Ga 2.376 0.000 7.410
Ga 2.376 0.000 1.817
Ce 0.000 0.000 4.614
Pt 2.376 2.376 6.931
Ho 0.000 0.000 0.000
Ga 0.000 2.376 7.410
Pt 2.376 2.376 2.296
```

Entry 13:
Computed, not measured: an optimized crystal structure of CeHoGa2Pt2 at the GGA-PBE level of DFT.

Summary:
symmetry	P-3m1
formation enthalpy at 0 K	-1.0352	eV per atom
N(E_F)	6.3	states/eV/cell

Cell and atoms, written as extended XYZ:
```
6
Lattice="-2.815 -3.493 0.184 4.412 -0.694 -0.460 0.693 -0.192 6.941" Properties=species:S:1:pos:R:3 pbc="T T T"
Pt -0.223 -2.611 1.800
Ga 2.187 -1.678 1.599
Ga 0.103 -2.701 5.067
Ce 0.000 0.000 0.000
Pt 2.514 -1.769 4.866
Ho 0.347 -0.096 3.470
```

Entry 14:
Computed, not measured: an optimized crystal structure of CeHoTlGa at the GGA-PBE level of DFT.

Summary:
energy above the most stable polymorph in this dataset	46	meV/atom
symmetry	F-43m
formation enthalpy at 0 K	-0.3618	eV per atom
N(E_F)	7.3	states/eV/cell

Cell and atoms, written as extended XYZ:
```
4
Lattice="-1.532 -2.167 4.565 -3.597 -3.866 0.011 1.437 -4.940 1.191" Properties=species:S:1:pos:R:3 pbc="T T T"
Tl -2.770 -8.230 4.326
Ho -1.846 -5.487 2.884
Ga -0.923 -2.743 1.442
Ce 0.000 0.000 0.000
```

Entry 15:
Computed, not measured: an optimized crystal structure of CeHoTlGa at the GGA-PBE level of DFT.

Summary:
energy above the most stable polymorph in this dataset	0	meV/atom
symmetry	P4mm
formation enthalpy at 0 K	-0.4078	eV per atom
N(E_F)	6.3	states/eV/cell

Cell and atoms, written as extended XYZ:
```
4
Lattice="3.519 0.000 0.000 0.000 3.519 0.000 0.000 0.000 8.245" Properties=species:S:1:pos:R:3 pbc="T T T"
Ga 1.759 1.759 4.940
Ho 0.000 0.000 3.110
Tl 1.759 1.759 0.952
Ce 0.000 0.000 6.894
```

Entry 16:
Computed, not measured: an optimized crystal structure of CeHoTmGa at the GGA-PBE level of DFT.

Summary:
symmetry	F-43m
formation enthalpy at 0 K	-0.0883	eV per atom
N(E_F)	8.2	states/eV/cell

Cell and atoms, written as extended XYZ:
```
4
Lattice="5.269 0.000 0.000 2.635 4.563 0.000 2.635 1.521 4.302" Properties=species:S:1:pos:R:3 pbc="T T T"
Ga 2.635 1.521 1.076
Tm 7.904 4.563 3.227
Ho 0.000 0.000 0.000
Ce 5.269 3.042 2.151
```

Entry 17:
Computed, not measured: an optimized crystal structure of Ce2HoZn2Ga2 at the GGA-PBE level of DFT.

Summary:
symmetry	R-3m
formation enthalpy at 0 K	-0.4172	eV per atom
N(E_F)	9.1	states/eV/cell

Cell and atoms, written as extended XYZ:
```
7
Lattice="-1.147 -1.259 3.986 0.426 -4.152 1.167 8.104 -0.123 4.649" Properties=species:S:1:pos:R:3 pbc="T T T"
Zn 6.156 -2.271 5.767
Ce 4.565 -0.836 3.406
Ho 0.000 0.000 0.000
Ga 1.478 -1.458 2.321
Ce 2.819 -4.698 6.396
Ga 5.906 -4.076 7.481
Zn 1.227 -3.264 4.035
```

Entry 18:
Computed, not measured: an optimized crystal structure of CeHo2Zn2Ga2 at the GGA-PBE level of DFT.

Summary:
symmetry	R-3m
formation enthalpy at 0 K	-0.3614	eV per atom
N(E_F)	7.6	states/eV/cell

Cell and atoms, written as extended XYZ:
```
7
Lattice="-0.635 -1.143 4.261 3.498 -0.917 2.607 1.451 8.204 4.749" Properties=species:S:1:pos:R:3 pbc="T T T"
Ho 3.053 1.344 7.810
Ga 3.249 4.849 8.780
Zn 2.009 0.431 5.078
Zn 2.304 5.713 6.539
Ce 0.000 0.000 0.000
Ho 1.261 4.800 3.807
Ga 1.065 1.295 2.838
```

Entry 19:
Computed, not measured: an optimized crystal structure of Ce2Ho2ZnGa4 at the GGA-PBE level of DFT.

Summary:
symmetry	I4/mmm
formation enthalpy at 0 K	-0.2299	eV per atom
N(E_F)	11.3	states/eV/cell

Cell and atoms, written as extended XYZ:
```
9
Lattice="0.045 -4.904 4.367 -1.394 -1.885 -6.134 5.854 2.832 -0.912" Properties=species:S:1:pos:R:3 pbc="T T T"
Ho 0.440 -3.157 -2.645
Ga 3.432 -1.867 -3.077
Ga 0.315 -0.773 -4.903
Zn 0.000 0.000 0.000
Ga 4.145 1.720 -2.143
Ho 4.064 -0.799 -0.034
Ga 1.073 -2.089 0.398
Ce 2.963 0.630 -4.681
Ce 1.497 0.318 -2.365
```

Entry 20:
Computed, not measured: an optimized crystal structure of CeHoZn2Ga2 at the GGA-PBE level of DFT.

Summary:
symmetry	P-3m1
formation enthalpy at 0 K	-0.5055	eV per atom
N(E_F)	7.7	states/eV/cell

Cell and atoms, written as extended XYZ:
```
6
Lattice="4.423 0.000 0.000 -2.212 3.830 0.000 0.000 0.000 7.391" Properties=species:S:1:pos:R:3 pbc="T T T"
Zn 0.000 2.554 5.396
Ce 0.000 0.000 0.000
Ga 0.000 2.554 1.902
Zn 2.212 1.277 1.994
Ga 2.212 1.277 5.489
Ho 0.000 0.000 3.695
```

Entry 21:
Computed, not measured: an optimized crystal structure of CeGaI at the GGA-PBE level of DFT.

Summary:
DFT total energy	-4.4641	eV/atom
symmetry	C2/m
N(E_F)	13.3	states/eV/cell

Cell and atoms, written as extended XYZ:
```
6
Lattice="4.258 -0.021 -0.592 -2.156 3.719 -0.031 -0.415 -0.174 12.382" Properties=species:S:1:pos:R:3 pbc="T T T"
Ga 0.812 0.500 5.702
Ce 2.685 1.567 3.528
Ce -0.999 1.956 8.230
Ga 0.874 3.023 6.056
I 0.262 2.631 1.668
I 1.425 0.892 10.091
```

Entry 22:
Computed, not measured: an optimized crystal structure of CeGa2I8 at the GGA-PBE level of DFT.

Summary:
DFT total energy	-2.9332	eV/atom
symmetry	C2/m
N(E_F)	11.0	states/eV/cell

Cell and atoms, written as extended XYZ:
```
11
Lattice="-5.915 -1.523 -4.085 4.188 -1.990 -7.713 0.462 -8.983 0.289" Properties=species:S:1:pos:R:3 pbc="T T T"
I -1.550 -3.331 -8.638
Ga -0.284 -9.733 -8.637
I -3.904 -7.748 -3.583
I 1.983 -9.266 -7.174
I 0.851 -4.472 -3.511
I 0.286 -9.166 -2.871
I -3.247 -3.231 -4.335
Ga -0.981 -2.764 -2.872
I -2.115 -8.025 -7.998
Ce 0.000 0.000 0.000
I 2.640 -4.748 -7.926
```

Entry 23:
Computed, not measured: an optimized crystal structure of CeGa2I5 at the GGA-PBE level of DFT.

Summary:
DFT total energy	-3.2591	eV/atom
symmetry	C2/m
N(E_F)	7.8	states/eV/cell

Cell and atoms, written as extended XYZ:
```
8
Lattice="-2.083 -5.533 -1.534 5.950 -5.696 0.306 -3.012 -4.364 7.706" Properties=species:S:1:pos:R:3 pbc="T T T"
I 2.873 -8.197 1.361
I -1.005 -6.572 0.766
I -2.018 -7.395 5.118
Ce 0.428 -7.796 3.240
I 1.469 -5.030 4.006
Ga 1.370 -7.033 -0.814
Ga -0.514 -8.560 7.293
I 1.860 -9.020 5.713
```

Entry 24:
Computed, not measured: an optimized crystal structure of Ce3GaI3 at the GGA-PBE level of DFT.

Summary:
DFT total energy	-4.5621	eV/atom
symmetry	I4_132
N(E_F)	83.4	states/eV/cell

Cell and atoms, written as extended XYZ:
```
28
Lattice="10.213 0.000 -3.611 -5.107 8.845 -3.611 0.000 0.000 10.833" Properties=species:S:1:pos:R:3 pbc="T T T"
Ce 1.340 2.102 1.081
Ce 5.107 0.219 0.903
Ce 2.490 0.109 4.335
I 0.000 4.570 2.708
I -1.192 2.211 9.810
I 2.596 8.771 -0.783
Ce 6.257 6.634 -6.141
I -1.149 6.560 -0.903
Ce 6.194 2.320 4.514
I 0.000 8.698 2.708
I -2.596 8.771 6.199
Ce 2.743 4.313 4.514
Ce 3.956 6.634 -2.887
Ce 7.471 4.313 -2.708
Ce 7.723 0.109 -2.530
I 2.426 4.496 -0.903
Ga 3.830 2.211 2.708
I -2.426 4.496 6.319
I 1.192 2.211 6.439
Ce 4.019 2.320 -2.708
Ga 6.383 2.211 -0.903
I 3.787 6.707 2.588
Ce 5.107 4.204 0.903
Ga 5.107 4.422 -4.514
Ga 0.000 0.000 2.708
Ce 8.873 2.102 0.724
I -3.787 6.707 2.828
I 1.149 6.560 6.319
```

Entry 25:
Computed, not measured: an optimized crystal structure of CeGaI4 at the GGA-PBE level of DFT.

Summary:
DFT total energy	-3.5412	eV/atom
symmetry	C2/m
N(E_F)	9.5	states/eV/cell

Cell and atoms, written as extended XYZ:
```
12
Lattice="-4.477 -0.104 -1.297 -4.985 -1.895 8.981 -3.391 11.629 2.394" Properties=species:S:1:pos:R:3 pbc="T T T"
I -7.258 10.483 3.270
I -8.961 6.059 9.498
I -5.595 -0.853 6.808
I -5.842 8.490 6.916
Ce -1.695 5.815 1.197
Ce -4.731 -1.000 3.842
I -7.034 5.857 2.866
I -5.820 3.772 7.212
Ga -7.945 1.408 6.361
I -3.892 3.571 0.580
I -7.011 1.140 3.162
Ga -4.908 8.222 3.717
```

Entry 26:
Computed, not measured: an optimized crystal structure of Ce2GaI6 at the GGA-PBE level of DFT.

Summary:
DFT total energy	-3.7588	eV/atom
symmetry	R3
N(E_F)	15.9	states/eV/cell

Cell and atoms, written as extended XYZ:
```
9
Lattice="7.149 0.000 3.884 2.520 6.690 3.884 -0.077 -0.053 8.664" Properties=species:S:1:pos:R:3 pbc="T T T"
I 7.633 3.679 8.645
I 5.096 0.411 10.422
Ce 4.463 3.088 8.828
Ce 2.825 1.955 3.322
I 3.708 5.847 7.328
I 1.365 2.458 9.164
I 4.462 1.410 6.069
Ga 7.602 5.260 11.572
I 4.368 4.624 11.610
```